# LiHoCu2, relaxed, DFT PBE
# Magnetic moment = 0.00 μB per atom
# Polymorph energy (0 for the lowest one) = 0.0 meV/atom
data_LiHoCu2
_space_group_name_H-M_alt 'R -3 m'
_space_group_IT_number 166
_space_group_name_Hall '-R 3 2"'
_cell_length_a 4.2700
_cell_length_b 4.2700
_cell_length_c 13.3826
_cell_angle_alpha 90.00
_cell_angle_beta 90.00
_cell_angle_gamma 120.00
loop_
_atom_site_label
_atom_site_fract_x
_atom_site_fract_y
_atom_site_fract_z
Li1 0.0000 0.0000 0.0000
Ho1 0.0000 0.0000 0.5000
Cu1 0.0000 0.0000 0.2903

# LiHo3Cu2, relaxed, DFT PBE
# Magnetic moment = 0.00 μB per atom
# Total energy = -24.67 eV/cell
data_LiHo3Cu2
_space_group_name_H-M_alt 'P 4/m m m'
_space_group_IT_number 123
_space_group_name_Hall '-P 4 2'
_cell_length_a 3.501
_cell_length_b 3.501
_cell_length_c 10.696
_cell_angle_alpha 90.00
_cell_angle_beta 90.00
_cell_angle_gamma 90.00
loop_
_atom_site_label
_atom_site_fract_x
_atom_site_fract_y
_atom_site_fract_z
Li1 0.000 0.000 0.000
Ho1 0.500 0.500 0.185
Ho2 0.500 0.500 0.500
Cu1 0.000 0.000 0.334

# Li4HoCu, relaxed, DFT PBE
# Magnetic moment = 0.14 μB per atom
# Total energy = -61.86 eV/cell
data_Li4HoCu
_space_group_name_H-M_alt 'F -4 3 m'
_space_group_IT_number 216
_space_group_name_Hall 'F -4 2 3'
_cell_length_a 7.502
_cell_length_b 7.502
_cell_length_c 7.502
_cell_angle_alpha 90.00
_cell_angle_beta 90.00
_cell_angle_gamma 90.00
loop_
_atom_site_label
_atom_site_fract_x
_atom_site_fract_y
_atom_site_fract_z
Li1 0.122 0.122 0.122
Ho1 0.000 0.000 0.500
Cu1 0.250 0.250 0.750

# LiHo4Cu5, relaxed, DFT PBE
# Magnetic moment = 0.00 μB per atom
# Total energy = -42.63 eV/cell
data_LiHo4Cu5
_space_group_name_H-M_alt 'P 4/m m m'
_space_group_IT_number 123
_space_group_name_Hall '-P 4 2'
_cell_length_a 3.399
_cell_length_b 3.399
_cell_length_c 16.643
_cell_angle_alpha 90.00
_cell_angle_beta 90.00
_cell_angle_gamma 90.00
loop_
_atom_site_label
_atom_site_fract_x
_atom_site_fract_y
_atom_site_fract_z
Li1 0.000 0.000 0.000
Ho1 0.000 0.000 0.182
Ho2 0.000 0.000 0.394
Cu1 0.500 0.500 0.076
Cu2 0.500 0.500 0.288
Cu3 0.500 0.500 0.500

# LiNdHoCu, relaxed, DFT PBE
# Magnetic moment = 0.00 μB per atom
# Total energy = -61.50 eV/cell
data_LiNdHoCu
_space_group_name_H-M_alt 'F -4 3 m'
_space_group_IT_number 216
_space_group_name_Hall 'F -4 2 3'
_cell_length_a 7.217
_cell_length_b 7.217
_cell_length_c 7.217
_cell_angle_alpha 90.00
_cell_angle_beta 90.00
_cell_angle_gamma 90.00
loop_
_atom_site_label
_atom_site_fract_x
_atom_site_fract_y
_atom_site_fract_z
Li1 0.000 0.000 0.000
Nd1 0.250 0.250 0.750
Ho1 0.250 0.250 0.250
Cu1 0.000 0.000 0.500

# LiHoCuNi, relaxed, DFT PBE
# Magnetic moment = 0.00 μB per atom
# Total energy = -67.17 eV/cell
data_LiHoCuNi
_space_group_name_H-M_alt 'F -4 3 m'
_space_group_IT_number 216
_space_group_name_Hall 'F -4 2 3'
_cell_length_a 6.449
_cell_length_b 6.449
_cell_length_c 6.449
_cell_angle_alpha 90.00
_cell_angle_beta 90.00
_cell_angle_gamma 90.00
loop_
_atom_site_label
_atom_site_fract_x
_atom_site_fract_y
_atom_site_fract_z
Li1 0.000 0.000 0.000
Ho1 0.000 0.000 0.500
Cu1 0.250 0.250 0.750
Ni1 0.250 0.250 0.250

# LiHo2CuSi4O12, relaxed, DFT PBE
# Magnetic moment = 0.00 μB per atom
# Uncorrected formation energy = -265 kJ/mol of atoms
# Polymorph energy (0 for the lowest one) = 3.8 meV/atom
data_LiHo2CuSi4O12
_space_group_name_H-M_alt 'P -1'
_space_group_IT_number 2
_space_group_name_Hall '-P 1'
_cell_length_a 5.028
_cell_length_b 7.184
_cell_length_c 7.976
_cell_angle_alpha 63.41
_cell_angle_beta 81.77
_cell_angle_gamma 76.88
loop_
_atom_site_label
_atom_site_fract_x
_atom_site_fract_y
_atom_site_fract_z
Li1 0.000 0.000 0.000
Ho1 0.496 0.215 0.574
Cu1 0.500 0.000 0.000
Si1 0.059 0.814 0.782
Si2 0.102 0.590 0.215
O1 0.021 0.358 0.276
O2 0.160 0.237 0.772
O3 0.203 0.696 0.989
O4 0.219 0.024 0.194
O5 0.283 0.930 0.623
O6 0.341 0.546 0.353

# LiHo2CuSi4O12, relaxed, DFT PBE
# Magnetic moment = 0.00 μB per atom
# Uncorrected formation energy = -266 kJ/mol of atoms
# Polymorph energy (0 for the lowest one) = 0.0 meV/atom
data_LiHo2CuSi4O12
_space_group_name_H-M_alt 'P 1'
_space_group_IT_number 1
_space_group_name_Hall 'P 1'
_cell_length_a 5.059
_cell_length_b 7.134
_cell_length_c 7.672
_cell_angle_alpha 65.90
_cell_angle_beta 84.70
_cell_angle_gamma 76.86
loop_
_atom_site_label
_atom_site_fract_x
_atom_site_fract_y
_atom_site_fract_z
Li1 0.000 0.000 0.000
Ho1 0.060 0.836 0.646
Ho2 0.113 0.400 0.510
Cu1 0.109 0.581 0.095
Si1 0.486 0.041 0.864
Si2 0.544 0.795 0.300
Si3 0.626 0.444 0.856
Si4 0.691 0.201 0.292
O1 0.229 0.061 0.741
O2 0.312 0.695 0.448
O3 0.364 0.611 0.880
O4 0.385 0.956 0.092
O5 0.418 0.358 0.308
O6 0.509 0.293 0.775
O7 0.653 0.952 0.378
O8 0.776 0.902 0.855
O9 0.777 0.263 0.062
O10 0.819 0.637 0.273
O11 0.863 0.544 0.712
O12 0.939 0.175 0.426